Entry 1:
Density functional theory data (GGA-PBEsol) for crystalline K3Nb8O21 at its relaxed geometry.

Cell and atoms, written as POSCAR:
```
K3Nb8O21
1.0
9.241 0.000 0.000
-4.621 8.003 0.000
0.000 0.000 12.087
O Nb K
42 16 6
Cartesian
-3.693 6.396 0.889
-0.952 6.659 4.885
5.572 1.344 7.202
0.933 1.615 9.065
2.999 2.505 7.202
1.865 0.000 3.022
7.386 0.000 5.155
3.669 1.344 4.885
1.622 5.498 1.158
-0.928 1.607 11.198
0.952 6.659 7.202
0.670 3.850 7.202
-1.622 5.498 10.929
7.376 0.000 9.065
-0.670 3.850 4.885
3.688 6.388 3.022
7.386 0.000 0.889
1.856 0.000 11.198
2.999 2.505 10.929
0.928 1.607 0.889
0.928 1.607 5.155
0.952 6.659 10.929
-0.952 6.659 1.158
5.291 4.154 10.929
3.669 1.344 1.158
1.856 0.000 6.932
-0.928 1.607 6.932
3.951 4.154 1.158
-3.688 6.388 9.065
6.243 2.505 1.158
-3.693 6.396 5.155
5.291 4.154 7.202
6.243 2.505 4.885
3.693 6.396 6.932
5.572 1.344 10.929
3.951 4.154 4.885
-0.933 1.615 3.022
0.670 3.850 10.929
1.622 5.498 4.885
3.693 6.396 11.198
-1.622 5.498 7.202
-0.670 3.850 1.158
6.947 0.000 7.185
4.621 2.668 0.000
-3.474 6.016 10.946
-1.147 1.987 4.902
-3.474 6.016 7.185
2.294 0.000 1.141
3.474 6.016 4.902
1.147 1.987 10.946
3.474 6.016 1.141
-1.147 1.987 1.141
0.000 5.336 6.044
6.947 0.000 10.946
2.294 0.000 4.902
4.621 2.668 6.044
0.000 5.336 0.000
1.147 1.987 7.185
-2.746 4.757 3.022
2.746 4.757 9.065
-1.874 3.247 9.065
5.492 0.000 3.022
3.749 0.000 9.065
1.874 3.247 3.022
```

Calculated values
* SG: P6_3/mcm
* magnetization: 0.00 μB per atom
* calculated volume: 894.0 Å³ per cell
* ΔE_f (raw): -57.676 kcal/mol of atoms

Entry 2:
Density functional theory data (GGA-PBEsol) for crystalline CrSe3 at its relaxed geometry.

Cell and atoms, written as POSCAR:
```
CrSe3
1.0
-3.739 -0.035 2.706
-3.688 -2.507 -1.192
-1.082 -3.796 2.393
Cr Se
1 3
Cartesian
0.000 0.000 0.000
-4.254 -3.169 1.953
-2.127 -1.585 0.977
-6.382 -4.754 2.930
```

Calculated values
* SG: Fm-3m
* magnetization: 0.59 μB per atom
* calculated volume: 69.5 Å³ per cell
* ΔE_f (raw): 9.448 kcal/mol of atoms

Entry 3:
Density functional theory data (GGA-PBEsol) for crystalline NaH2SeO4 at its relaxed geometry.

Cell and atoms, written as POSCAR:
```
NaH2SeO4
1.0
6.537 0.031 0.000
-2.944 5.837 0.000
0.000 0.000 9.509
Se Na O H
4 4 16 8
Cartesian
1.256 3.266 5.963
2.338 2.603 1.209
-2.060 5.296 7.161
5.654 0.572 2.407
4.410 3.472 4.083
2.506 0.362 4.083
1.088 5.506 8.838
-0.816 2.396 8.838
1.020 3.410 0.552
2.690 4.817 2.956
2.297 1.054 0.342
-2.047 5.288 5.517
-0.753 4.496 7.796
5.640 0.581 0.762
4.323 1.387 7.169
0.525 1.283 2.956
0.904 1.051 7.710
3.699 3.343 0.342
1.296 4.815 5.097
3.068 4.586 7.710
4.346 1.373 3.041
-0.106 2.525 5.097
2.574 2.458 5.307
-0.729 4.481 2.415
3.609 1.825 6.624
1.699 1.113 8.998
-1.331 4.850 1.735
0.220 2.019 4.243
-0.015 4.044 1.870
3.374 3.849 8.998
1.895 4.755 4.243
4.925 1.019 6.490
```

Calculated values
* SG: Cmc2_1
* magnetization: 0.00 μB per atom
* calculated volume: 363.7 Å³ per cell
* final energy: -5.229 eV per atom

Entry 4:
Density functional theory data (GGA-PBEsol) for crystalline MgIn2Ag at its relaxed geometry.

Cell and atoms, written as POSCAR:
```
MgIn2Ag
1.0
-3.655 2.004 1.277
-2.307 -2.426 -2.793
-0.577 -3.036 3.113
Ag Mg In
1 1 2
Cartesian
-0.289 -1.518 1.557
-3.269 -1.729 0.799
-1.153 -1.213 -1.397
-1.827 1.002 0.639
```

Calculated values
* SG: P4/mmm
* magnetization: 0.00 μB per atom
* calculated volume: 83.4 Å³ per cell
* energy of formation: -0.33 eV/f.u.

Entry 5:
Density functional theory data (GGA-PBEsol) for crystalline LiRePb2 at its relaxed geometry.

Cell and atoms, written as POSCAR:
```
LiRePb2
1.0
3.481 0.000 0.000
0.000 4.408 0.000
-1.740 0.000 5.142
Pb Re Li
2 1 1
Cartesian
0.000 0.000 1.154
0.000 2.204 3.984
1.740 0.000 3.396
1.740 2.204 1.731
```

Calculated values
* SG: Amm2
* magnetization: 0.00 μB per atom
* calculated volume: 78.9 Å³ per cell
* energy of formation: 2.10 eV/f.u.
* energy above the most stable polymorph in this dataset: 0.000 eV per atom

Entry 6:
Density functional theory data (GGA-PBEsol) for crystalline BeZnRh at its relaxed geometry.

Cell and atoms, written as POSCAR:
```
BeZnRh
1.0
-2.497 0.420 0.967
-0.243 -3.708 0.983
1.399 2.563 2.499
Rh Be Zn
1 1 1
Cartesian
-0.855 0.760 2.655
-0.307 0.052 0.119
-0.179 -1.536 1.676
```

Calculated values
* SG: P3m1
* magnetization: 0.00 μB per atom
* calculated volume: 34.7 Å³ per cell
* energy of formation: -1.01 eV/f.u.
* energy above the most stable polymorph in this dataset: 0.067 eV per atom